First-principles (GGA-PBE) data for FeSnRh2 after structural relaxation, as listed in Alexandria via LeMat-Bulk.

Unit cell a=5.882 b=5.882 c=5.882 alpha=152.40 beta=135.25 gamma=53.39
Sites, in units of the cell vectors:
Fe 0.000 0.000 0.000
Sn 0.500 0.500 0.000
Rh 0.227 0.227 0.000
Rh 0.773 0.773 0.000

Values from the calculation:
- uncorrected energy (eV/atom) = -6.495
- DFT formation energy (eV/f.u.) = 1.19
- magnetic moment (μB/f.u.) = 2.8
- DOS at the Fermi energy (states/eV/f.u.) = 4.0
- crystal system = orthorhombic